An optimized crystal structure of NaSrIn2Pd. Source: the Alexandria database, functional GGA-PBEsol.

Cell lengths 5.2765, 5.2765, 4.9271 Å; angles 90.00, 90.00, 90.00 degrees
Positions (direct):
Na 0.0000 0.0000 0.0000
Sr 0.5000 0.5000 0.5000
In 0.0000 0.5000 0.0000
In 0.5000 0.0000 0.0000
Pd 0.0000 0.0000 0.5000

Values from the calculation:
ΔE_f: 0.241 eV per atom